Entry 1:
## LuPa2Al (PBE-GGA)

Data for crystalline LuPa2Al at its relaxed geometry.

Computed properties:
**Uncorrected energy**: -26.5 eV/f.u.
**V**: 24.2 Å³ per atom
**Polymorph energy (0 for the lowest one)**: 238 meV/atom
**Mass density**: 11.4 Mg/m³
**Total magnetic moment**: 0.0 μB/cell

Unit cell a=11.525 b=11.525 c=11.525 alpha=15.62 beta=15.62 gamma=15.62
Fractional coordinates of all 4 atoms:
1 Lu 0.000 0.000 0.000
2 Pa 0.091 0.091 0.091
3 Pa 0.909 0.909 0.909
4 Al 0.500 0.500 0.500



Entry 2:
## Lu2PaAl (PBE-GGA)

Data for crystalline Lu2PaAl at its relaxed geometry.

Computed properties:
**Uncorrected energy**: -22.7 eV/f.u.
**V**: 24.6 Å³ per atom
**Polymorph energy (0 for the lowest one)**: 0 meV/atom
**Mass density**: 10.3 Mg/m³
**Total magnetic moment**: 0.4 μB/cell

Unit cell a=3.326 b=3.326 c=8.895 alpha=90.00 beta=90.00 gamma=90.00
Fractional coordinates of all 4 atoms:
1 Lu 0.000 0.000 0.226
2 Lu 0.000 0.000 0.774
3 Pa 0.500 0.500 0.500
4 Al 0.500 0.500 0.000